First-principles (PBE-GGA) data for a relaxed NdHoW2N6 crystal, as listed in Alexandria.

Cell lengths 7.497, 7.497, 6.448 Å; angles 107.40, 107.40, 81.23 degrees
Fractional coordinates of all 20 atoms:
1 Nd 0.096 0.904 0.750
2 Nd 0.904 0.096 0.250
3 Ho 0.288 0.712 0.250
4 Ho 0.712 0.288 0.750
5 W 0.204 0.378 0.790
6 W 0.378 0.204 0.290
7 W 0.622 0.796 0.710
8 W 0.796 0.622 0.210
9 N 0.000 0.228 0.665
10 N 0.000 0.772 0.335
11 N 0.124 0.622 0.854
12 N 0.228 0.000 0.165
13 N 0.335 0.365 0.088
14 N 0.365 0.335 0.588
15 N 0.378 0.876 0.646
16 N 0.622 0.124 0.354
17 N 0.635 0.665 0.412
18 N 0.665 0.635 0.912
19 N 0.772 0.000 0.835
20 N 0.876 0.378 0.146

For the electronic total energy, the calculation gives -9.476 eV per atom. The density of states at the Fermi level is 0.0000 states/eV/atom. Its space group is C2/c (15).